# 1
The following is a DFT calculation (PBE-GGA) of crystalline ErMgScNi at its relaxed geometry.

Unit cell a=6.8981 b=6.8981 c=6.8981 alpha=90.00 beta=90.00 gamma=90.00
Last column: nearest neighbours and their distance in Å.
Space group F-43m (No. 216)
Symmetry-distinct sites (fractional):
Er  0.0000  0.0000  0.0000 x4  4 Mg 2.99, 4 Ni 2.99
Mg  0.2500  0.2500  0.7500 x4  4 Er 2.99, 4 Sc 2.99
Sc  0.0000  0.0000  0.5000 x4  4 Ni 2.99, 4 Mg 2.99
Ni  0.2500  0.2500  0.2500 x4  4 Er 2.99, 4 Sc 2.99

Values from the calculation:
VASP energy (eV per cell): -75.12
Crystal system: cubic
DOS at the Fermi energy (states/eV per atom): 0.85
Energy relative to the lowest polymorph listed for this composition (meV/atom): 143.7


# 2
The following is a DFT calculation (PBE-GGA) of crystalline Pm2PuOs at its relaxed geometry.

Unit cell a=3.4751 b=3.4751 c=8.9471 alpha=90.00 beta=90.00 gamma=90.00
Last column: nearest neighbours and their distance in Å.
Space group P4/mmm (No. 123)
Symmetry-distinct sites (fractional):
Pm  0.0000  0.0000  0.1926 x2  4 Os 3.00
Pu  0.5000  0.5000  0.5000 x1  4 Pu 3.48, 8 Pm 3.69
Os  0.5000  0.5000  0.0000 x1  8 Pm 3.00

Values from the calculation:
VASP energy (eV per cell): -34.63
Crystal system: tetragonal
DOS at the Fermi energy (states/eV per atom): 2.08


Computed ΔE_f (meV/atom) in order:
-127, 108